! CsLiNiF4 GGA+U relaxed; values from VASP
&SYSTEM
  ibrav = 0, nat = 14, ntyp = 4
/
ATOMIC_SPECIES
F 19.00 F.upf
Li 6.94 Li.upf
Cs 132.91 Cs.upf
Ni 58.69 Ni.upf
CELL_PARAMETERS angstrom
-5.075 -2.146 -0.582
0.618 -2.768 4.814
1.917 7.569 4.105
ATOMIC_POSITIONS crystal
F 0.942 0.990 0.335
F 0.431 0.250 0.420
F 0.616 0.250 0.778
F 0.058 0.010 0.665
F 0.058 0.490 0.665
F 0.384 0.750 0.222
F 0.569 0.750 0.580
F 0.942 0.510 0.335
Li 0.790 0.250 0.645
Li 0.210 0.750 0.355
Cs 0.649 0.750 0.920
Cs 0.351 0.250 0.080
Ni 0.199 0.250 0.523
Ni 0.801 0.750 0.477
! **VASP energy**: -60.06 eV/cell
! **Symmetry**: No. 11
! **Total magnetic moment**: 2.1 μB/f.u.
! **Mass density**: 4.1 g/cm3